Crystalline Ca2Ag3Au4 at its relaxed geometry. Source: the Alexandria database, functional PBE.

```
Ca2Ag3Au4
1.0
0.0000 4.7659 7.1471
2.7634 0.0000 7.1471
2.7634 4.7659 0.0000
Ca Ag Au
2 3 4
Cartesian
2.7634 4.7659 2.0478
2.7634 4.7659 12.2465
1.3817 2.3830 0.0000
1.3817 2.3830 7.1471
2.7634 4.7659 7.1471
2.7634 3.2250 4.6934
2.7634 6.3068 4.6934
2.7634 3.2250 9.6009
2.7634 6.3068 9.6009
```

The formation energy from the elements is -3.84 eV/f.u. For the volume, the calculation gives 20.92 A^3/atom. As for the total energy: -3.278 eV/atom.